# Y2InSnPd4

A relaxed Y2InSnPd4 crystal (PBE, OQMD via LeMat-Bulk).

Cell: 4.586 4.586 8.964 Å, 90.00 90.00 120.00°
Fractional positions:
In 0.000 0.000 0.000
Pd 0.667 0.333 0.086
Pd 0.667 0.333 0.413
Pd 0.333 0.667 0.587
Pd 0.333 0.667 0.914
Sn 0.000 0.000 0.500
Y 0.333 0.667 0.250
Y 0.667 0.333 0.750

Properties
**Total magnetization**: 0.00 μB per atom
**Energy**: -5.902 eV per atom